! BPPtO2 (PBE, optimized geometry); values from VASP
! energy: -23.5 eV/f.u.
! formation energy (no corrections): 0.918 eV per atom
! spin magnetization: 1.1 μB per formula unit
! energy relative to the lowest polymorph listed for this composition: 1095 meV per atom
! theoretical density: 6.1 Mg/m³
&SYSTEM
  ibrav = 0, nat = 5, ntyp = 4
/
ATOMIC_SPECIES
B 10.81 B.upf
P 30.97 P.upf
Pt 195.08 Pt.upf
O 16.00 O.upf
CELL_PARAMETERS angstrom
3.757 0.000 0.000
0.000 3.757 0.000
0.000 0.000 5.207
ATOMIC_POSITIONS crystal
B 0.000 0.000 0.000
P 0.500 0.500 0.000
Pt 0.500 0.500 0.500
O 0.000 0.500 0.500
O 0.500 0.000 0.500